# MgCdFeF6

Crystalline MgCdFeF6 at its relaxed geometry (PBE with a Hubbard U, Alexandria).

Properties
VASP energy = -42.75 eV/f.u.
space-group type = No. 163
volume = 239 Å³/cell

a = 5.365 Å, b = 5.365 Å, c = 9.594 Å
α = 90.00°, β = 90.00°, γ = 120.00°
Fractional coordinates of all 18 atoms:
1 Mg 0.333 0.667 0.250
2 Mg 0.667 0.333 0.750
3 Cd 0.000 0.000 0.000
4 Cd 0.000 0.000 0.500
5 Fe 0.333 0.667 0.750
6 Fe 0.667 0.333 0.250
7 F 0.011 0.356 0.137
8 F 0.011 0.655 0.363
9 F 0.345 0.356 0.363
10 F 0.345 0.989 0.137
11 F 0.356 0.011 0.637
12 F 0.356 0.345 0.863
13 F 0.644 0.655 0.137
14 F 0.644 0.989 0.363
15 F 0.655 0.011 0.863
16 F 0.655 0.644 0.637
17 F 0.989 0.345 0.637
18 F 0.989 0.644 0.863